La2TaW | PBE | relaxed

Cell lengths 2.951, 5.356, 5.912 Å; angles 90.00, 90.00, 90.00 degrees
Fractional coordinates of all 4 atoms:
1 La 0.000 0.000 0.994
2 La 0.000 0.000 0.506
3 Ta 0.500 0.500 0.250
4 W 0.500 0.500 0.750

Computed properties:
Energy above the most stable polymorph in this dataset, meV/atom: 453
D(E_F), states/eV/f.u.: 4.0
ΔE_f, eV/atom: 0.765
Size of the total moment, Bohr magnetons per cell: 0.00